[1]
The following is a PBE-GGA calculation of a relaxed structure of VFe6Pd12, from Alexandria via LeMat-Bulk.

abc: 7.2284 7.2284 7.2284
angles: 110.96 110.96 110.96
Element x y z (fractional)
V (0.0000, 0.0000, 0.0000)
Fe (0.0517, 0.5817, 0.3636)
Fe (0.3636, 0.0517, 0.5817)
Fe (0.4183, 0.6364, 0.9483)
Fe (0.5817, 0.3636, 0.0517)
Fe (0.6364, 0.9483, 0.4183)
Fe (0.9483, 0.4183, 0.6364)
Pd (0.1142, 0.1626, 0.7398)
Pd (0.1626, 0.7398, 0.1142)
Pd (0.2052, 0.3240, 0.4731)
Pd (0.2602, 0.8858, 0.8374)
Pd (0.3240, 0.4731, 0.2052)
Pd (0.4731, 0.2052, 0.3240)
Pd (0.5269, 0.7948, 0.6760)
Pd (0.6760, 0.5269, 0.7948)
Pd (0.7398, 0.1142, 0.1626)
Pd (0.7948, 0.6760, 0.5269)
Pd (0.8374, 0.2602, 0.8858)
Pd (0.8858, 0.8374, 0.2602)

Summary:
As for the density of states at the Fermi level: 0.96 states/eV per atom.


[2]
The following is a PBE-GGA calculation of a relaxed structure of V2FePdW, from Alexandria via LeMat-Bulk.

abc: 4.5522 4.5522 4.4934
angles: 90.00 90.00 90.00
Element x y z (fractional)
V (0.0000, 0.5000, 0.0000)
V (0.5000, 0.0000, 0.0000)
Fe (0.0000, 0.0000, 0.5000)
Pd (0.5000, 0.5000, 0.5000)
W (0.0000, 0.0000, 0.0000)

Summary:
As for the density of states at the Fermi level: 1.51 states/eV per atom.


[3]
The following is a PBE-GGA calculation of a relaxed structure of FePd3W, from Alexandria via LeMat-Bulk.

abc: 4.4510 4.4510 4.4510
angles: 90.00 90.00 90.00
Element x y z (fractional)
Fe (0.0000, 0.0000, 0.0000)
Pd (0.0000, 0.0000, 0.5000)
Pd (0.0000, 0.5000, 0.0000)
Pd (0.5000, 0.0000, 0.0000)
W (0.5000, 0.5000, 0.5000)

Summary:
As for the density of states at the Fermi level: 3.65 states/eV per atom.


[4]
The following is a PBE-GGA calculation of a relaxed structure of Fe2PdW2, from Alexandria via LeMat-Bulk.

abc: 6.9735 6.9735 2.8198
angles: 90.00 90.00 90.00
Element x y z (fractional)
Fe (0.1329, 0.3671, 0.0000)
Fe (0.3671, 0.8671, 0.0000)
Fe (0.6329, 0.1329, 0.0000)
Fe (0.8671, 0.6329, 0.0000)
Pd (0.0000, 0.0000, 0.0000)
Pd (0.5000, 0.5000, 0.0000)
W (0.1653, 0.6653, 0.5000)
W (0.3347, 0.1653, 0.5000)
W (0.6653, 0.8347, 0.5000)
W (0.8347, 0.3347, 0.5000)

Summary:
As for the density of states at the Fermi level: 0.60 states/eV per atom.


[5]
The following is a PBE-GGA calculation of a relaxed structure of FePdW3, from Alexandria via LeMat-Bulk.

abc: 4.4373 4.4373 4.4373
angles: 90.00 90.00 90.00
Element x y z (fractional)
Fe (0.0000, 0.0000, 0.0000)
Pd (0.5000, 0.5000, 0.5000)
W (0.0000, 0.0000, 0.5000)
W (0.0000, 0.5000, 0.0000)
W (0.5000, 0.0000, 0.0000)

Summary:
As for the density of states at the Fermi level: 0.89 states/eV per atom.


[6]
The following is a PBE-GGA calculation of a relaxed structure of FePd3W, from Alexandria via LeMat-Bulk.

abc: 4.7846 4.7846 4.7846
angles: 90.00 90.00 90.00
Element x y z (fractional)
Fe (0.0000, 0.0000, 0.0000)
Pd (0.0000, 0.5000, 0.5000)
Pd (0.5000, 0.0000, 0.5000)
Pd (0.5000, 0.5000, 0.0000)
W (0.5000, 0.5000, 0.5000)

Summary:
As for the density of states at the Fermi level: 1.44 states/eV per atom.


[7]
The following is a PBE-GGA calculation of a relaxed structure of FePdW, from Alexandria via LeMat-Bulk.

abc: 6.2253 6.2253 6.2253
angles: 154.92 154.92 35.77
Element x y z (fractional)
Fe (0.0000, 0.0000, 0.0000)
Pd (0.6606, 0.6606, 0.0000)
W (0.3352, 0.3352, 0.0000)

Summary:
As for the density of states at the Fermi level: 0.87 states/eV per atom.


[8]
The following is a PBE-GGA calculation of a relaxed structure of Fe4PdW, from Alexandria via LeMat-Bulk.

abc: 4.7220 4.7220 4.7220
angles: 60.00 60.00 60.00
Element x y z (fractional)
Fe (0.1254, 0.1254, 0.1254)
Fe (0.1254, 0.1254, 0.6238)
Fe (0.1254, 0.6238, 0.1254)
Fe (0.6238, 0.1254, 0.1254)
Pd (0.5000, 0.5000, 0.5000)
W (0.7500, 0.7500, 0.7500)

Summary:
As for the density of states at the Fermi level: 0.85 states/eV per atom.


E? In order: -6.523 -7.545 -5.795 -9.489 -9.241 -5.935 -8.759 -8.672 eV/atom.